## Ti2FeP2O10 (PBE with a Hubbard U)

Data for an optimized crystal structure of Ti2FeP2O10.

Cell and atoms, written as POSCAR:
```
Ti2FeP2O10
1.0
7.4403 0.0000 0.0000
0.0000 7.5063 0.0000
-3.7738 0.0000 6.5392
Ti Fe P O
4 2 4 20
direct
0.2349 0.2222 0.2051
0.2349 0.2778 0.7051
0.7651 0.7222 0.2949
0.7651 0.7778 0.7949
0.5000 0.0000 0.0000
0.5000 0.5000 0.5000
0.2530 0.6168 0.0022
0.2530 0.8832 0.5022
0.7470 0.1168 0.4978
0.7470 0.3832 0.9978
0.0573 0.7320 0.9271
0.0573 0.7680 0.4271
0.2361 0.5049 0.8231
0.2361 0.9951 0.3231
0.2659 0.1551 0.0011
0.2659 0.3449 0.5011
0.2819 0.0089 0.6784
0.2819 0.4911 0.1784
0.4420 0.7438 0.0875
0.4420 0.7562 0.5875
0.5580 0.2438 0.4125
0.5580 0.2562 0.9125
0.7181 0.5089 0.8216
0.7181 0.9911 0.3216
0.7341 0.6551 0.4989
0.7341 0.8449 0.9989
0.7639 0.0049 0.6769
0.7639 0.4951 0.1769
0.9427 0.2320 0.5729
0.9427 0.2680 0.0729
```

Output
- Final energy: -238.46 eV per cell